DFT (PBE) results for Y3CoPb after structural relaxation. Values from VASP.

Properties
polymorph energy (0 for the lowest one) = 0.34 eV per formula unit
space group = Pnma, No. 62

The structure in Quantum ESPRESSO input format:
```
&SYSTEM
  ibrav = 0, nat = 20, ntyp = 3
/
ATOMIC_SPECIES
Y 88.91 Y.upf
Co 58.93 Co.upf
Pb 207.20 Pb.upf
CELL_PARAMETERS angstrom
7.340 0.000 0.000
0.000 10.538 0.000
0.000 0.000 7.101
ATOMIC_POSITIONS angstrom
Y 0.006 2.635 0.441
Y 1.441 0.304 4.912
Y 1.441 4.965 4.912
Y 2.229 5.573 1.362
Y 2.229 10.234 1.362
Y 3.663 7.904 3.992
Y 3.676 2.635 3.109
Y 5.111 0.304 5.739
Y 5.111 4.965 5.739
Y 5.899 5.573 2.189
Y 5.899 10.234 2.189
Y 7.333 7.904 6.660
Co 0.000 0.000 0.000
Co 0.000 5.269 0.000
Co 3.670 0.000 3.550
Co 3.670 5.269 3.550
Pb 0.421 7.904 3.379
Pb 3.249 2.635 6.929
Pb 4.091 7.904 0.172
Pb 6.918 2.635 3.722
```

DFT (PBE) results for Y3CoPb after structural relaxation. Values from VASP.

Properties
polymorph energy (0 for the lowest one) = 0.12 eV per formula unit
space group = C2/m, No. 12

The structure in Quantum ESPRESSO input format:
```
&SYSTEM
  ibrav = 0, nat = 10, ntyp = 3
/
ATOMIC_SPECIES
Y 88.91 Y.upf
Co 58.93 Co.upf
Pb 207.20 Pb.upf
CELL_PARAMETERS angstrom
8.193 -1.869 0.000
8.193 1.869 0.000
-6.721 0.000 8.673
ATOMIC_POSITIONS angstrom
Y -1.630 0.000 3.914
Y 3.878 0.000 1.852
Y 0.718 0.000 6.833
Y 8.947 0.000 1.841
Y 5.787 0.000 6.822
Y 11.294 0.000 4.760
Co 1.276 0.000 3.896
Co 8.388 0.000 4.778
Pb -4.817 0.000 7.988
Pb 14.482 0.000 0.685
```

DFT (PBE) results for Y3CoPb after structural relaxation. Values from VASP.

Properties
polymorph energy (0 for the lowest one) = 0.00 eV per formula unit
space group = P6_3/m, No. 176

The structure in Quantum ESPRESSO input format:
```
&SYSTEM
  ibrav = 0, nat = 10, ntyp = 3
/
ATOMIC_SPECIES
Y 88.91 Y.upf
Co 58.93 Co.upf
Pb 207.20 Pb.upf
CELL_PARAMETERS angstrom
7.485 0.000 0.000
-3.742 6.482 0.000
0.000 0.000 5.454
ATOMIC_POSITIONS angstrom
Y -1.796 5.349 1.364
Y 0.008 2.252 1.364
Y 1.955 1.119 4.091
Y 1.788 5.363 1.364
Y 3.734 4.230 4.091
Y 5.538 1.133 4.091
Co 0.000 0.000 0.000
Co 0.000 0.000 2.727
Pb 0.000 4.321 4.091
Pb 3.742 2.161 1.364
```

DFT (PBE) results for Y12Co6Pb after structural relaxation. Values from VASP.

Properties
space group = Im-3, No. 204

The structure in Quantum ESPRESSO input format:
```
&SYSTEM
  ibrav = 0, nat = 19, ntyp = 3
/
ATOMIC_SPECIES
Y 88.91 Y.upf
Co 58.93 Co.upf
Pb 207.20 Pb.upf
CELL_PARAMETERS angstrom
-4.861 4.861 4.861
4.861 -4.861 4.861
4.861 4.861 -4.861
ATOMIC_POSITIONS angstrom
Y 4.861 2.963 -1.907
Y 2.955 0.000 1.898
Y 6.768 0.000 1.898
Y 1.898 2.955 0.000
Y 2.963 -1.907 4.861
Y 0.000 1.898 2.955
Y 4.861 2.963 1.907
Y 1.898 6.768 0.000
Y 2.963 1.907 4.861
Y -1.907 4.861 2.963
Y 1.907 4.861 2.963
Y 0.000 1.898 6.768
Co 4.861 1.088 0.000
Co 4.861 0.000 3.773
Co 3.773 4.861 0.000
Co 1.088 0.000 4.861
Co 0.000 4.861 1.088
Co 0.000 3.773 4.861
Pb 0.000 0.000 0.000
```

| no. | magnetization (μB/f.u.) | ΔE_f (eV/atom) |
| --- | --- | --- |
| 1 | 0.00 | -0.28 |
| 2 | 0.00 | -0.33 |
| 3 | 0.00 | -0.35 |
| 4 | 0.00 | -0.26 |